An optimized crystal structure of Sm3MgGa2, computed with PBE.

Summary:
* relative energy among the computed polymorphs: 0 meV/atom
* ρ: 6.68 Mg/m³
* ΔE_f: -0.42 eV/atom
* total magnetic moment: 0.00 μB/atom

Unit cell a=5.240 b=5.240 c=12.850 alpha=90.00 beta=90.00 gamma=120.00
Element x y z (fractional)
Sm 0.333 0.667 0.418
Sm 0.667 0.333 0.073
Sm 0.000 0.000 0.761
Sm 0.000 0.000 0.239
Sm 0.333 0.667 0.927
Sm 0.667 0.333 0.582
Mg 0.333 0.667 0.672
Mg 0.667 0.333 0.328
Ga 0.000 0.000 0.500
Ga 0.333 0.667 0.178
Ga 0.667 0.333 0.822
Ga 0.000 0.000 0.000